The following is a DFT calculation (PBE) of a geometry-optimized RbSm2Ho3Te6 structure.

```
RbSm2Ho3Te6
1.0
9.837 -2.188 0.000
9.837 2.188 0.000
-2.380 0.000 8.875
Rb Sm Ho Te
1 2 3 6
Direct
0.000 0.000 0.000
0.327 0.327 0.648
0.673 0.673 0.352
0.000 0.000 0.500
0.338 0.338 0.177
0.662 0.662 0.823
0.162 0.162 0.591
0.177 0.177 0.083
0.498 0.498 0.726
0.502 0.502 0.274
0.823 0.823 0.917
0.838 0.838 0.409
```

Total energy ... -4.875 eV/atom
Space-group type ... C2/m (12)
D(E_F) ... 0.295 states/eV per atom
Formation energy from raw total energies ... -1.29 eV/atom